Computed, not measured: a PBEsol-optimized structure of Re4POs at the meta-GGA SCAN level of DFT.

Output
* energy of formation: 1.012 eV/atom
* crystal system: cubic
* SG: No. 216

Unit cell a=5.096 b=5.096 c=5.096 alpha=60.00 beta=60.00 gamma=60.00
Sites, in units of the cell vectors:
Os1 0.250 0.250 0.250
P1 0.000 0.000 0.000
Re1 0.625 0.625 0.124
Re2 0.124 0.625 0.625
Re3 0.625 0.124 0.625
Re4 0.625 0.625 0.625

=====

Computed, not measured: a PBEsol-optimized structure of Zr2InCu at the meta-GGA SCAN level of DFT.

Output
* energy of formation: -0.232 eV/atom
* crystal system: orthorhombic
* SG: No. 38

Unit cell a=3.303 b=4.195 c=5.899 alpha=90.00 beta=106.26 gamma=90.00
Sites, in units of the cell vectors:
Cu1 0.831 0.000 0.661
In1 0.691 0.500 0.382
Zr1 0.077 0.000 0.154
Zr2 0.421 0.500 0.841

=====

Computed, not measured: a PBEsol-optimized structure of SrLiMg at the meta-GGA SCAN level of DFT.

Output
* energy of formation: -0.017 eV/atom
* crystal system: tetragonal
* SG: No. 107

Unit cell a=3.920 b=3.920 c=6.480 alpha=107.61 beta=107.61 gamma=90.00
Sites, in units of the cell vectors:
Sr1 0.668 0.668 0.335
Mg1 0.361 0.361 0.722
Li1 0.971 0.971 0.942

=====

Computed, not measured: a PBEsol-optimized structure of YTeMo2 at the meta-GGA SCAN level of DFT.

Output
* ΔE_f (raw): 116 meV per atom
* crystal system: monoclinic
* SG: No. 6

Unit cell a=3.387 b=4.427 c=5.427 alpha=90.00 beta=101.29 gamma=90.00
Sites, in units of the cell vectors:
Mo1 0.939 0.000 0.050
Mo2 0.675 0.500 0.207
Te1 0.654 0.000 0.512
Y1 0.232 0.500 0.731

=====

Computed, not measured: a PBEsol-optimized structure of Ta2HgTe at the meta-GGA SCAN level of DFT.

Output
* ΔE_f (raw): 410 meV per atom
* crystal system: tetragonal
* SG: No. 123

Unit cell a=3.179 b=4.863 c=4.863 alpha=90.00 beta=90.00 gamma=90.00
Sites, in units of the cell vectors:
Hg1 0.500 0.000 0.000
Ta1 0.000 0.000 0.500
Ta2 0.000 0.500 0.000
Te1 0.500 0.500 0.500

=====

Computed, not measured: a PBEsol-optimized structure of YMn2Rh at the meta-GGA SCAN level of DFT.

Output
* energy of formation: -0.351 eV/atom
* crystal system: tetragonal
* SG: No. 123

Unit cell a=3.904 b=3.904 c=4.346 alpha=90.00 beta=90.00 gamma=90.00
Sites, in units of the cell vectors:
Mn1 0.000 0.500 0.000
Mn2 0.500 0.000 0.000
Rh1 0.500 0.500 0.500
Y1 0.000 0.000 0.500

=====

Computed, not measured: a PBEsol-optimized structure of HfZnPd at the meta-GGA SCAN level of DFT.

Output
* energy of formation: -0.656 eV/atom
* crystal system: orthorhombic
* SG: No. 63

Unit cell a=4.289 b=4.926 c=5.197 alpha=90.00 beta=90.00 gamma=115.81
Sites, in units of the cell vectors:
Zn1 0.500 0.000 0.500
Zn2 0.500 0.000 0.000
Hf1 0.201 0.403 0.750
Hf2 0.799 0.597 0.250
Pd1 0.893 0.785 0.750
Pd2 0.107 0.215 0.250

=====

Computed, not measured: a PBEsol-optimized structure of ZrMnIn at the meta-GGA SCAN level of DFT.

Output
* energy of formation: 0.133 eV/atom
* crystal system: cubic
* SG: No. 216

Unit cell a=4.553 b=4.553 c=4.553 alpha=60.00 beta=60.00 gamma=60.00
Sites, in units of the cell vectors:
In1 0.250 0.250 0.250
Mn1 0.000 0.000 0.000
Zr1 0.500 0.500 0.500

=====

Computed, not measured: a PBEsol-optimized structure of KP2OsO at the meta-GGA SCAN level of DFT.

Output
* ΔE_f (raw): 40 meV per atom
* crystal system: tetragonal
* SG: No. 123

Unit cell a=3.784 b=4.835 c=4.835 alpha=90.00 beta=90.00 gamma=90.00
Sites, in units of the cell vectors:
P1 0.000 0.000 0.500
P2 0.000 0.500 0.000
K1 0.500 0.500 0.500
Os1 0.000 0.000 0.000
O1 0.500 0.000 0.000

=====

Computed, not measured: a PBEsol-optimized structure of Ni2PtRh at the meta-GGA SCAN level of DFT.

Output
* energy of formation: -0.058 eV/atom
* crystal system: orthorhombic
* SG: No. 47

Unit cell a=2.653 b=3.517 c=5.301 alpha=90.00 beta=90.00 gamma=90.00
Sites, in units of the cell vectors:
Ni1 0.000 0.000 0.743
Ni2 0.000 0.000 0.257
Rh1 0.500 0.500 0.500
Pt1 0.500 0.500 0.000

=====

Computed, not measured: a PBEsol-optimized structure of Ag3BIr at the meta-GGA SCAN level of DFT.

Output
* energy of formation: 2.159 eV/atom
* crystal system: cubic
* SG: No. 221

Unit cell a=4.948 b=4.948 c=4.948 alpha=90.00 beta=90.00 gamma=90.00
Sites, in units of the cell vectors:
B1 0.500 0.500 0.500
Ir1 0.000 0.000 0.000
Ag1 0.000 0.500 0.000
Ag2 0.000 0.000 0.500
Ag3 0.500 0.000 0.000

=====

Computed, not measured: a PBEsol-optimized structure of CsCa2HgSb at the meta-GGA SCAN level of DFT.

Output
* ΔE_f (raw): -93 meV per atom
* crystal system: tetragonal
* SG: No. 123

Unit cell a=5.827 b=5.827 c=6.061 alpha=90.00 beta=90.00 gamma=90.00
Sites, in units of the cell vectors:
Cs1 0.000 0.000 0.500
Sb1 0.500 0.500 0.500
Ca1 0.000 0.500 0.000
Ca2 0.500 0.000 0.000
Hg1 0.000 0.000 0.000

=====

Computed, not measured: a PBEsol-optimized structure of KRb2AsI6 at the meta-GGA SCAN level of DFT.

Output
* ΔE_f (raw): -1004 meV per atom
* crystal system: cubic
* SG: No. 225

Unit cell a=8.596 b=8.596 c=8.596 alpha=60.00 beta=60.00 gamma=60.00
Sites, in units of the cell vectors:
K1 0.500 0.500 0.500
Rb1 0.750 0.750 0.750
Rb2 0.250 0.250 0.250
As1 0.000 0.000 0.000
I1 0.768 0.232 0.232
I2 0.768 0.768 0.232
I3 0.232 0.768 0.768
I4 0.768 0.232 0.768
I5 0.232 0.768 0.232
I6 0.232 0.232 0.768

=====

Computed, not measured: a PBEsol-optimized structure of Ba3SrCo4O12 at the meta-GGA SCAN level of DFT.

Output
* ΔE_f (raw): -2070 meV per atom
* crystal system: orthorhombic
* SG: No. 25

Unit cell a=4.694 b=5.566 c=9.626 alpha=90.00 beta=90.00 gamma=90.00
Sites, in units of the cell vectors:
Ba1 0.000 0.500 0.666
Ba2 0.500 0.500 0.332
Ba3 0.500 0.000 0.835
Sr1 0.000 0.000 0.168
Co1 0.251 0.000 0.496
Co2 0.749 0.000 0.496
Co3 0.250 0.500 0.004
Co4 0.750 0.500 0.004
O1 0.500 0.000 0.345
O2 0.500 0.500 0.853
O3 0.000 0.500 0.154
O4 0.000 0.000 0.646
O5 0.500 0.273 0.078
O6 0.500 0.727 0.078
O7 0.500 0.775 0.573
O8 0.500 0.225 0.573
O9 0.000 0.222 0.418
O10 0.000 0.778 0.418
O11 0.000 0.728 0.931
O12 0.000 0.272 0.931

=====

Computed, not measured: a PBEsol-optimized structure of Y3MnGa at the meta-GGA SCAN level of DFT.

Output
* energy of formation: 0.192 eV/atom
* crystal system: cubic
* SG: No. 221

Unit cell a=5.013 b=5.013 c=5.013 alpha=90.00 beta=90.00 gamma=90.00
Sites, in units of the cell vectors:
Y1 0.000 0.500 0.000
Y2 0.000 0.000 0.500
Y3 0.500 0.000 0.000
Mn1 0.000 0.000 0.000
Ga1 0.500 0.500 0.500

=====

Computed, not measured: a PBEsol-optimized structure of LaFeMo2 at the meta-GGA SCAN level of DFT.

Output
* energy of formation: 0.740 eV/atom
* crystal system: orthorhombic
* SG: No. 44

Unit cell a=3.230 b=4.962 c=5.248 alpha=118.21 beta=107.92 gamma=90.00
Sites, in units of the cell vectors:
Fe1 0.485 0.485 0.970
La1 0.248 0.748 0.496
Mo1 0.018 0.018 0.036
Mo2 0.749 0.249 0.498

=====

Computed, not measured: a PBEsol-optimized structure of CrRe2Si at the meta-GGA SCAN level of DFT.

Output
* ΔE_f (raw): -34 meV per atom
* crystal system: orthorhombic
* SG: No. 25

Unit cell a=2.766 b=3.885 c=4.951 alpha=90.00 beta=90.00 gamma=90.00
Sites, in units of the cell vectors:
Cr1 0.500 0.500 0.734
Re1 0.000 0.000 0.998
Re2 0.500 0.500 0.261
Si1 0.000 0.000 0.507

=====

Computed, not measured: a PBEsol-optimized structure of TcHg2P at the meta-GGA SCAN level of DFT.

Output
* energy of formation: 0.727 eV/atom
* crystal system: tetragonal
* SG: No. 139

Unit cell a=3.801 b=3.801 c=5.468 alpha=110.34 beta=110.34 gamma=90.00
Sites, in units of the cell vectors:
Hg1 0.750 0.250 0.500
Hg2 0.250 0.750 0.500
P1 0.500 0.500 0.000
Tc1 0.000 0.000 0.000

=====

Computed, not measured: a PBEsol-optimized structure of Sr5V3ClO12 at the meta-GGA SCAN level of DFT.

Output
* ΔE_f (raw): -3148 meV per atom
* crystal system: hexagonal
* SG: No. 176

Unit cell a=7.244 b=10.169 c=10.169 alpha=120.00 beta=90.00 gamma=90.00
Sites, in units of the cell vectors:
Sr1 0.750 0.251 0.999
Sr2 0.250 0.999 0.749
Sr3 0.498 0.333 0.667
Sr4 0.998 0.667 0.333
Sr5 0.250 0.749 0.001
Sr6 0.002 0.333 0.667
Sr7 0.750 0.749 0.749
Sr8 0.502 0.667 0.333
Sr9 0.750 0.001 0.251
Sr10 0.250 0.251 0.251
V1 0.250 0.966 0.373
V2 0.750 0.594 0.966
V3 0.750 0.373 0.406
V4 0.250 0.627 0.594
V5 0.250 0.406 0.034
V6 0.750 0.034 0.627
Cl1 0.500 0.000 0.000
Cl2 0.000 0.000 0.000
O1 0.250 0.602 0.130
O2 0.250 0.512 0.672
O3 0.437 0.352 0.097
O4 0.750 0.840 0.512
O5 0.437 0.744 0.648
O6 0.937 0.648 0.903
O7 0.750 0.130 0.528
O8 0.563 0.097 0.744
O9 0.937 0.097 0.744
O10 0.063 0.352 0.097
O11 0.250 0.528 0.398
O12 0.250 0.870 0.472
O13 0.250 0.328 0.840
O14 0.063 0.903 0.256
O15 0.750 0.398 0.870
O16 0.063 0.744 0.648
O17 0.563 0.648 0.903
O18 0.437 0.903 0.256
O19 0.937 0.256 0.352
O20 0.750 0.472 0.602
O21 0.750 0.672 0.160
O22 0.750 0.488 0.328
O23 0.563 0.256 0.352
O24 0.250 0.160 0.488

=====

Computed, not measured: a PBEsol-optimized structure of Fe2AsPb at the meta-GGA SCAN level of DFT.

Output
* energy of formation: 0.566 eV/atom
* crystal system: tetragonal
* SG: No. 123

Unit cell a=3.178 b=4.391 c=4.395 alpha=90.00 beta=90.00 gamma=90.00
Sites, in units of the cell vectors:
As1 0.500 0.500 0.000
Fe1 0.000 0.000 0.000
Fe2 0.000 0.500 0.500
Pb1 0.500 0.000 0.500

=====

Computed, not measured: a PBEsol-optimized structure of KY2Cu at the meta-GGA SCAN level of DFT.

Output
* energy of formation: 0.531 eV/atom
* crystal system: cubic
* SG: No. 225

Unit cell a=5.205 b=5.205 c=5.206 alpha=120.00 beta=120.00 gamma=90.00
Sites, in units of the cell vectors:
Cu1 0.500 0.500 0.000
K1 0.000 0.000 0.000
Y1 0.750 0.250 0.500
Y2 0.250 0.750 0.500

=====

Computed, not measured: a PBEsol-optimized structure of Ti3IBr at the meta-GGA SCAN level of DFT.

Output
* ΔE_f (raw): 683 meV per atom
* crystal system: cubic
* SG: No. 221

Unit cell a=4.714 b=4.714 c=4.714 alpha=90.00 beta=90.00 gamma=90.00
Sites, in units of the cell vectors:
I1 0.500 0.500 0.500
Br1 0.000 0.000 0.000
Ti1 0.000 0.500 0.000
Ti2 0.000 0.000 0.500
Ti3 0.500 0.000 0.000

=====

Computed, not measured: a PBEsol-optimized structure of SrYTc at the meta-GGA SCAN level of DFT.

Output
* energy of formation: 0.765 eV/atom
* crystal system: cubic
* SG: No. 216

Unit cell a=4.868 b=4.868 c=4.868 alpha=60.00 beta=60.00 gamma=60.00
Sites, in units of the cell vectors:
Sr1 0.500 0.500 0.500
Tc1 0.250 0.250 0.250
Y1 0.000 0.000 0.000

=====

Computed, not measured: a PBEsol-optimized structure of ScFe2Ni at the meta-GGA SCAN level of DFT.

Output
* energy of formation: -0.095 eV/atom
* crystal system: tetragonal
* SG: No. 139

Unit cell a=3.555 b=3.555 c=4.800 alpha=111.74 beta=111.74 gamma=90.00
Sites, in units of the cell vectors:
Fe1 0.750 0.250 0.500
Fe2 0.250 0.750 0.500
Ni1 0.500 0.500 0.000
Sc1 0.000 0.000 0.000

=====

Computed, not measured: a PBEsol-optimized structure of LaMnAg2 at the meta-GGA SCAN level of DFT.

Output
* energy of formation: -0.060 eV/atom
* crystal system: cubic
* SG: No. 216

Unit cell a=4.874 b=4.874 c=4.874 alpha=60.00 beta=60.00 gamma=60.00
Sites, in units of the cell vectors:
Ag1 0.000 0.000 0.000
Ag2 0.750 0.750 0.750
La1 0.500 0.500 0.500
Mn1 0.250 0.250 0.250

=====

Computed, not measured: a PBEsol-optimized structure of TiOs2N at the meta-GGA SCAN level of DFT.

Output
* ΔE_f (raw): 1020 meV per atom
* crystal system: cubic
* SG: No. 225

Unit cell a=4.153 b=4.153 c=4.153 alpha=60.00 beta=60.00 gamma=60.00
Sites, in units of the cell vectors:
N1 0.000 0.000 0.000
Os1 0.250 0.250 0.250
Os2 0.750 0.750 0.750
Ti1 0.500 0.500 0.500

=====

Computed, not measured: a PBEsol-optimized structure of NbHRh3 at the meta-GGA SCAN level of DFT.

Output
* electronic total energy: -140.1 eV/cell
* crystal system: cubic
* SG: No. 221

Unit cell a=3.899 b=3.899 c=3.899 alpha=90.00 beta=90.00 gamma=90.00
Sites, in units of the cell vectors:
H1 0.500 0.500 0.500
Nb1 0.000 0.000 0.000
Rh1 0.500 0.000 0.500
Rh2 0.000 0.500 0.500
Rh3 0.500 0.500 0.000

=====

We obtain V values of 15.6 19.6 30.0 20.0 18.8 16.6 16.5 22.3 17.7 12.4 24.2 41.2 44.9 12.6 25.2 17.4 13.3 17.2 15.4 15.3 24.9 21.0 27.2 12.9 20.5 12.7 11.9 Å³ per atom for the records listed above, in that order.